P:
Entry from Alexandria via LeMat-Bulk: a relaxed structure of Nb3FeAu (PBE).

Geometry as POSCAR:
```
Nb3FeAu
1.0
4.9473 0.0000 0.0000
0.0000 4.9473 0.0000
0.0000 0.0000 4.9473
Nb Fe Au
3 1 1
Direct
0.0000 0.0000 0.5000
0.0000 0.5000 0.0000
0.5000 0.0000 0.0000
0.5000 0.5000 0.5000
0.0000 0.0000 0.0000
```

***

Q:
Entry from Alexandria via LeMat-Bulk: a relaxed structure of Nb3FeAu (PBE).

Geometry as POSCAR:
```
Nb3FeAu
1.0
4.5714 0.0000 0.0000
0.0000 4.5714 0.0000
0.0000 0.0000 4.5714
Nb Fe Au
3 1 1
Direct
0.0000 0.0000 0.5000
0.0000 0.5000 0.0000
0.5000 0.0000 0.0000
0.0000 0.0000 0.0000
0.5000 0.5000 0.5000
```

***

Stability, descending: Q, P

***

P:
Entry from Alexandria via LeMat-Bulk: a relaxed structure of NbFeAu2 (PBE).

Geometry as POSCAR:
```
NbFeAu2
1.0
0.0000 3.1982 3.1982
3.1982 0.0000 3.1982
3.1982 3.1982 0.0000
Nb Fe Au
1 1 2
Direct
0.0000 0.0000 0.0000
0.5000 0.5000 0.5000
0.2500 0.2500 0.2500
0.7500 0.7500 0.7500
```

***

Q:
Entry from Alexandria via LeMat-Bulk: a relaxed structure of NbFeAu2 (PBE).

Geometry as POSCAR:
```
NbFeAu2
1.0
-3.6618 3.6618 2.6005
3.6618 -3.6618 2.6005
3.6618 3.6618 -2.6005
Nb Fe Au
2 2 4
Direct
0.0000 0.0000 0.0000
0.7500 0.2500 0.5000
0.2500 0.7500 0.5000
0.5000 0.5000 0.0000
0.1549 0.6250 0.0299
0.3750 0.4049 0.5299
0.5951 0.1250 0.9701
0.8750 0.8451 0.4701
```

***

Stability, descending: P, Q